# 1
Compound: CeTmPu2
Source: Alexandria
Functional: GGA-PBE
Structure: relaxed

The structure belongs to space group P4/mmm (No. 123); the cell edges are 3.339, 3.339 and 9.422 Å and the angles 90.00°, 90.00° and 90.00°. Symmetry generates all atoms from Ce at (0.000, 0.000, 0.000), Tm at (0.000, 0.000, 0.500) and Pu at (0.500, 0.500, 0.231).

The calculation puts the energy of formation from the pure elements at 3.2 kcal/mol of atoms. The calculation puts the energy above the most stable polymorph in this dataset at 0.0 kJ per mole of atoms.

# 2
Compound: PrDyZr
Source: Alexandria
Functional: GGA-PBE
Structure: relaxed

The structure belongs to space group I4mm (No. 107); the cell edges are 3.419, 3.419 and 15.202 Å and the angles 90.00°, 90.00° and 90.00°. Symmetry generates all atoms from Pr at (0.000, 0.000, 0.000), Dy at (0.000, 0.000, 0.690) and Zr at (0.000, 0.000, 0.338).

The calculation puts the energy of formation from the pure elements at 2.5 kcal/mol of atoms. The calculation puts the energy above the most stable polymorph in this dataset at 0.0 kJ per mole of atoms.

# 3
Compound: ThS6Br2
Source: Alexandria
Functional: GGA-PBE
Structure: relaxed

The structure belongs to space group P-1 (No. 2); the cell edges are 4.807, 8.175 and 8.202 Å and the angles 60.59°, 86.14° and 81.94°. Symmetry generates all atoms from Th at (0.000, 0.000, 0.000), S at (0.065, 0.568, 0.226), S at (0.065, 0.791, 0.774), S at (0.311, 0.665, 0.000) and Br at (0.499, 0.126, 0.744).

The uncorrected energy comes out at -40.77 eV/f.u.

# 4
Compound: Nd8Ir3PtCl4
Source: Alexandria
Functional: GGA-PBE
Structure: relaxed

The structure belongs to space group C2/m (No. 12); the cell edges are 14.406, 8.319 and 8.915 Å and the angles 90.00°, 122.65° and 90.00°. Symmetry generates all atoms from Nd at (0.017, 0.245, 0.296), Nd at (0.235, 0.000, 0.704), Nd at (0.238, 0.500, 0.704), Ir at (0.000, 0.000, 0.500), Ir at (0.250, 0.250, 0.500), Pt at (0.000, 0.500, 0.500), Cl at (0.000, 0.000, 0.000), Cl at (0.000, 0.500, 0.000) and Cl at (0.250, 0.250, 0.000).

The uncorrected energy comes out at -97.91 eV/f.u.